No. 1
First-principles (GGA-PBE) data for a relaxed structure of ZrFe5Ge2, as listed in Alexandria.

Summary:
Total moment = 9.4 μB per cell
Space-group type = No. 71
Uncorrected energy = -7.65 eV per atom

abc: 3.3142 6.1283 6.1283
angles: 70.28 74.31 74.31
With the nearest neighbours (Å) after each atom.
Fractional coordinates of all 8 atoms:
Fe  0.6344  0.1729  0.5584  3 Ge 2.39-2.45, 3 Fe 2.49-2.54
Fe  0.3656  0.4416  0.8271  3 Ge 2.39-2.45, 3 Fe 2.49-2.54
Fe  0.6344  0.5584  0.1729  3 Ge 2.39-2.45, 3 Fe 2.49-2.54
Fe  0.0000  0.5000  0.5000  2 Ge 2.45, 8 Fe 2.49
Fe  0.3656  0.8271  0.4416  3 Ge 2.39-2.45, 3 Fe 2.49-2.54
Ge  0.2590  0.2410  0.2410  7 Fe 2.39-2.45
Ge  0.7410  0.7590  0.7590  7 Fe 2.39-2.45
Zr  0.0000  0.0000  0.0000  4 Ge 2.82, 8 Fe 3.01

---

No. 2
First-principles (GGA-PBE) data for a relaxed structure of PrTmZn2Pd5, as listed in Alexandria.

Summary:
Total moment = 0.0 μB per cell
Space-group type = No. 123
Uncorrected energy = -4.83 eV per atom

abc: 4.1968 4.1968 9.4103
angles: 90.00 90.00 90.00
With the nearest neighbours (Å) after each atom.
Fractional coordinates of all 9 atoms:
Pd  0.0000  0.5000  0.7307  2 Zn 2.49
Pd  0.5000  0.5000  0.5000  4 Pr 2.97, 8 Pd 3.02
Pd  0.0000  0.5000  0.2693  2 Zn 2.49
Pd  0.5000  0.0000  0.2693  2 Zn 2.49
Pd  0.5000  0.0000  0.7307  2 Zn 2.49
Tm  0.0000  0.0000  0.0000  8 Zn 3.20, 8 Pd 3.29
Zn  0.5000  0.5000  0.8735  1 Zn 2.38, 4 Pd 2.49
Zn  0.5000  0.5000  0.1265  1 Zn 2.38, 4 Pd 2.49
Pr  0.0000  0.0000  0.5000  12 Pd 2.97-3.02

---

No. 3
First-principles (GGA-PBE) data for a relaxed structure of Zr2SiPt, as listed in Alexandria.

Summary:
Total moment = 0.0 μB per cell
Space-group type = No. 12
E_form (uncorrected) = -742 meV/atom
Uncorrected energy = -7.88 eV per atom

abc: 4.8344 6.6129 3.2729
angles: 60.19 90.09 121.04
With the nearest neighbours (Å) after each atom.
Fractional coordinates of all 4 atoms:
Zr  0.0000  0.0000  0.0000  2 Zr 2.87, 4 Pt 2.92, 4 Si 2.92
Zr  0.0000  0.5000  0.5000  2 Zr 2.87, 4 Si 2.92, 4 Pt 2.92
Pt  0.5000  0.5000  0.0000  2 Si 2.87, 8 Zr 2.92
Si  0.5000  0.0000  0.5000  2 Pt 2.87, 8 Zr 2.92

---

No. 4
First-principles (GGA-PBE) data for a relaxed structure of Tb7Pm2Th2, as listed in Alexandria.

Summary:
Total moment = 0.0 μB per cell
Space-group type = No. 12
Uncorrected energy = -4.98 eV per atom

abc: 6.1432 8.0305 8.0305
angles: 92.00 74.04 74.04
With the nearest neighbours (Å) after each atom.
Fractional coordinates of all 11 atoms:
Tb  0.1680  0.5893  0.0669  4 Tb 3.20-3.57, 2 Pm 3.32-3.45
Tb  0.1680  0.0669  0.5893  4 Tb 3.20-3.57, 2 Pm 3.32-3.45
Tb  0.5802  0.7571  0.7571  5 Tb 3.35-3.61, 3 Th 3.46-3.58, 2 Pm 3.57
Tb  0.8320  0.4107  0.9331  4 Tb 3.20-3.57, 2 Pm 3.32-3.45
Tb  0.0000  0.0000  0.0000  6 Tb 3.28-3.52
Tb  0.8320  0.9331  0.4107  4 Tb 3.20-3.57, 2 Pm 3.32-3.45
Tb  0.4198  0.2429  0.2429  5 Tb 3.35-3.61, 3 Th 3.46-3.58, 2 Pm 3.57
Th  0.1893  0.5891  0.5891  7 Tb 3.46-3.80, 2 Th 3.54-3.61, 2 Pm 3.73
Th  0.8107  0.4109  0.4109  7 Tb 3.46-3.80, 2 Th 3.54-3.61, 2 Pm 3.73
Pm  0.5000  0.2161  0.7839  6 Tb 3.32-3.57
Pm  0.5000  0.7839  0.2161  6 Tb 3.32-3.57

---

No. 5
First-principles (GGA-PBE) data for a relaxed structure of ReC2, as listed in Alexandria.

Summary:
Total moment = 0.0 μB per cell
Space-group type = No. 65
Uncorrected energy = -8.34 eV per atom
Energy relative to the lowest polymorph listed for this composition = 146.2 kJ/mol of atoms

abc: 6.0548 6.0548 2.7402
angles: 90.00 90.00 147.11
With the nearest neighbours (Å) after each atom.
Fractional coordinates of all 6 atoms:
C  0.8074  0.1926  0.5000  2 C 2.17, 6 Re 2.24-2.26
C  0.5000  0.5000  0.5000  4 C 2.19, 4 Re 2.24
C  0.0000  0.0000  0.0000  4 C 2.19
C  0.1926  0.8074  0.5000  2 C 2.17, 6 Re 2.24-2.26
Re  0.6528  0.3472  0.0000  10 C 2.24-2.47
Re  0.3472  0.6528  0.0000  10 C 2.24-2.47

---

No. 6
First-principles (GGA-PBE) data for a relaxed structure of TbPm6Ho2Tm, as listed in Alexandria.

Summary:
Total moment = 0.0 μB per cell
Space-group type = No. 15
Uncorrected energy = -4.56 eV per atom

abc: 9.5851 8.9043 8.9043
angles: 117.70 93.72 93.72
With the nearest neighbours (Å) after each atom.
Fractional coordinates of all 20 atoms:
Ho  0.4540  0.7983  0.6992  5 Pm 3.28-3.49, 2 Tb 3.42-3.45, 1 Tm 3.52
Ho  0.9540  0.6992  0.7983  5 Pm 3.28-3.49, 2 Tb 3.42-3.45, 1 Tm 3.52
Ho  0.5460  0.2017  0.3008  5 Pm 3.28-3.49, 2 Tb 3.42-3.45, 1 Tm 3.52
Ho  0.0460  0.3008  0.2017  5 Pm 3.28-3.49, 2 Tb 3.42-3.45, 1 Tm 3.52
Pm  0.8821  0.2914  0.5099  4 Pm 3.26-3.62, 3 Ho 3.28-3.46, 2 Tm 3.44-3.54
Pm  0.9456  0.8810  0.2388  7 Pm 3.44-3.77, 1 Ho 3.49, 2 Tb 3.66-3.82
Pm  0.1179  0.7086  0.4901  4 Pm 3.26-3.62, 3 Ho 3.28-3.46, 2 Tm 3.44-3.54
Pm  0.6179  0.4901  0.7086  4 Pm 3.26-3.62, 3 Ho 3.28-3.46, 2 Tm 3.44-3.54
Pm  0.8124  0.4356  0.9903  2 Pm 3.26-3.62, 1 Ho 3.45, 1 Tm 3.45, 1 Tb 3.58
Pm  0.6876  0.0097  0.5644  2 Pm 3.26-3.62, 1 Ho 3.45, 1 Tm 3.45, 1 Tb 3.58
Pm  0.1876  0.5644  0.0097  2 Pm 3.26-3.62, 1 Ho 3.45, 1 Tm 3.45, 1 Tb 3.58
Pm  0.3821  0.5099  0.2914  4 Pm 3.26-3.62, 3 Ho 3.28-3.46, 2 Tm 3.44-3.54
Pm  0.5544  0.7612  0.1190  7 Pm 3.44-3.77, 1 Ho 3.49, 2 Tb 3.66-3.82
Pm  0.3124  0.9903  0.4356  2 Pm 3.26-3.62, 1 Ho 3.45, 1 Tm 3.45, 1 Tb 3.58
Pm  0.4456  0.2388  0.8810  7 Pm 3.44-3.77, 1 Ho 3.49, 2 Tb 3.66-3.82
Pm  0.0544  0.1190  0.7612  7 Pm 3.44-3.77, 1 Ho 3.49, 2 Tb 3.66-3.82
Tb  0.7500  0.0269  0.9731  4 Ho 3.42-3.45, 6 Pm 3.58-3.82
Tb  0.2500  0.9731  0.0269  4 Ho 3.42-3.45, 6 Pm 3.58-3.82
Tm  0.7500  0.5886  0.4114  6 Pm 3.44-3.54, 2 Ho 3.52
Tm  0.2500  0.4114  0.5886  6 Pm 3.44-3.54, 2 Ho 3.52

---

No. 7
First-principles (GGA-PBE) data for a relaxed structure of NaHg2Pd3, as listed in Alexandria.

Summary:
Total moment = 0.0 μB per cell
Space-group type = No. 12
Uncorrected energy = -3.03 eV per atom
Energy relative to the lowest polymorph listed for this composition = 4.9 kJ/mol of atoms

abc: 3.9697 8.1311 8.9961
angles: 116.09 90.00 104.13
With the nearest neighbours (Å) after each atom.
Fractional coordinates of all 12 atoms:
Na  0.1387  0.2775  0.9831  7 Hg 3.12-3.48, 3 Pd 3.29-3.44
Na  0.8613  0.7225  0.0169  7 Hg 3.12-3.48, 3 Pd 3.29-3.44
Pd  0.9494  0.8989  0.5909  7 Pd 2.75-2.88, 3 Hg 2.83-2.94
Pd  0.3122  0.6245  0.5192  5 Pd 2.70-2.79, 4 Hg 2.73-2.85
Pd  0.4157  0.8315  0.3388  6 Pd 2.76-2.91, 3 Hg 2.81-2.87
Pd  0.5843  0.1685  0.6612  6 Pd 2.76-2.91, 3 Hg 2.81-2.87
Pd  0.0506  0.1011  0.4091  7 Pd 2.75-2.88, 3 Hg 2.83-2.94
Pd  0.6878  0.3755  0.4808  5 Pd 2.70-2.79, 4 Hg 2.73-2.85
Hg  0.2237  0.4473  0.7302  6 Pd 2.81-2.94, 1 Na 3.12
Hg  0.5341  0.0683  0.1728  4 Pd 2.73-2.87, 1 Hg 2.79
Hg  0.7763  0.5527  0.2698  6 Pd 2.81-2.94, 1 Na 3.12
Hg  0.4659  0.9317  0.8272  4 Pd 2.73-2.87, 1 Hg 2.79

---

No. 8
First-principles (GGA-PBE) data for a relaxed structure of CrSiAs, as listed in Alexandria.

Summary:
Total moment = 0.2 μB per cell
Space-group type = No. 38
E_form (uncorrected) = 64 meV/atom
Uncorrected energy = -6.50 eV per atom

abc: 3.0076 3.7211 4.5439
angles: 90.03 70.65 89.99
With the nearest neighbours (Å) after each atom.
Fractional coordinates of all 3 atoms:
As  0.8781  0.8448  0.8409  3 Cr 2.39-2.43
Si  0.1231  0.3447  0.3511  4 Cr 2.40
Cr  0.5954  0.8448  0.4066  3 As 2.39-2.43, 4 Si 2.40

---

No. 9
First-principles (GGA-PBE) data for a relaxed structure of RbTe2O, as listed in Alexandria.

Summary:
Total moment = 0.0 μB per cell
Space-group type = No. 166
E_form (uncorrected) = 315 meV/atom
Uncorrected energy = -2.74 eV per atom

abc: 10.3881 10.3881 10.3881
angles: 19.42 19.42 19.42
With the nearest neighbours (Å) after each atom.
Fractional coordinates of all 4 atoms:
Te  0.1118  0.1118  0.1118  3 O 2.63
Te  0.8882  0.8882  0.8882  3 O 2.63
Rb  0.0000  0.0000  0.0000  2 Te 3.42, 6 Rb 3.50
O  0.5000  0.5000  0.5000  6 Te 2.63

---

No. 10
First-principles (GGA-PBE) data for a relaxed structure of Tb3Tm3Th2, as listed in Alexandria.

Summary:
Total moment = 0.0 μB per cell
Space-group type = No. 71
Uncorrected energy = -5.24 eV per atom
Energy relative to the lowest polymorph listed for this composition = 0.0 kJ/mol of atoms

abc: 5.0060 5.0104 10.6522
angles: 103.60 103.59 90.00
With the nearest neighbours (Å) after each atom.
Fractional coordinates of all 8 atoms:
Tb  0.3730  0.3730  0.7460  4 Th 3.52, 6 Tm 3.54-3.57, 2 Tb 3.58
Tb  0.5000  0.0000  0.0000  8 Tm 3.54-3.57, 4 Tb 3.58
Tb  0.6270  0.6270  0.2540  4 Th 3.52, 6 Tm 3.54-3.57, 2 Tb 3.58
Tm  0.8735  0.8735  0.7470  4 Th 3.52-3.53, 6 Tb 3.54-3.57, 2 Tm 3.57
Tm  0.1265  0.1265  0.2530  4 Th 3.52-3.53, 6 Tb 3.54-3.57, 2 Tm 3.57
Tm  0.0000  0.5000  0.0000  8 Tb 3.54-3.57, 4 Tm 3.57
Th  0.7497  0.2497  0.4995  4 Tb 3.52, 4 Tm 3.52-3.53, 4 Th 3.54
Th  0.2503  0.7503  0.5005  4 Tb 3.52, 4 Tm 3.52-3.53, 4 Th 3.54

---

No. 11
First-principles (GGA-PBE) data for a relaxed structure of In2OsCl, as listed in Alexandria.

Summary:
Total moment = 0.0 μB per cell
Space-group type = No. 123
E_form (uncorrected) = 142 meV/atom
Uncorrected energy = -4.50 eV per atom
Energy relative to the lowest polymorph listed for this composition = 11.4 kJ/mol of atoms

abc: 3.2529 3.2529 7.8008
angles: 90.00 90.00 90.00
With the nearest neighbours (Å) after each atom.
Fractional coordinates of all 4 atoms:
Os  0.5000  0.5000  0.2500  8 In 2.80
In  0.0000  0.0000  0.0446  4 Os 2.80
In  0.0000  0.0000  0.4554  4 Os 2.80
Cl  0.5000  0.5000  0.7500  8 In 3.25, 4 Cl 3.25

---

No. 12
First-principles (GGA-PBE) data for a relaxed structure of InGe, as listed in Alexandria.

Summary:
Total moment = 0.0 μB per cell
Space-group type = No. 59
Uncorrected energy = -3.46 eV per atom

abc: 4.0519 5.9463 13.2547
angles: 90.00 90.00 90.00
With the nearest neighbours (Å) after each atom.
Fractional coordinates of all 12 atoms:
Ge  0.5000  0.8899  0.7945  2 Ge 2.69, 3 In 2.79-2.92
Ge  0.5000  0.7057  0.5000  4 In 2.64-2.70
Ge  0.5000  0.8899  0.2055  2 Ge 2.69, 3 In 2.79-2.92
Ge  0.0000  0.1101  0.2945  2 Ge 2.69, 3 In 2.79-2.92
Ge  0.0000  0.2943  0.0000  4 In 2.64-2.70
Ge  0.0000  0.1101  0.7055  2 Ge 2.69, 3 In 2.79-2.92
In  0.5000  0.4508  0.6633  3 Ge 2.64-2.92
In  0.0000  0.0063  0.5000  4 Ge 2.70-2.79
In  0.0000  0.5492  0.8367  3 Ge 2.64-2.92
In  0.5000  0.9937  0.0000  4 Ge 2.70-2.79
In  0.0000  0.5492  0.1633  3 Ge 2.64-2.92
In  0.5000  0.4508  0.3367  3 Ge 2.64-2.92